# Mo2RuAu | Alexandria via LeMat-Bulk | PBE | optimized geometry
data_Mo2RuAu
_symmetry_space_group_name_H-M 'P 1'
_symmetry_Int_Tables_number 1
_cell_length_a 9.586
_cell_length_b 9.586
_cell_length_c 9.586
_cell_angle_alpha 16.77
_cell_angle_beta 16.77
_cell_angle_gamma 16.77
loop_
_symmetry_equiv_pos_as_xyz
'x,y,z'
loop_
_atom_site_label
_atom_site_type_symbol
_atom_site_fract_x
_atom_site_fract_y
_atom_site_fract_z
_atom_site_occupancy
Au1 Au 0.751 0.751 0.751 1
Mo1 Mo 0.999 0.999 0.999 1
Mo2 Mo 0.246 0.246 0.246 1
Ru1 Ru 0.505 0.505 0.505 1
# energy relative to the lowest polymorph listed for this composition = 0.586 eV per formula unit
# formation energy = 0.24 eV/atom
# SG = R3m